1.
K4MgV6O16 | PBE with a Hubbard U | optimized geometry

Properties
Polymorph energy (0 for the lowest one) (eV per formula unit): 1.994
Final energy (eV per atom): -6.76

a b c (Å): 12.642 13.246 5.599
angles (deg): 90.00 90.00 90.00
Space group Cmm2 (No. 35)
One atom of each set of equivalent atoms:
K 0.000 0.219 0.000
K 0.175 0.500 0.961
Mg 0.000 0.000 0.902
V 0.000 0.374 0.453
V 0.137 0.000 0.406
V 0.250 0.250 0.431
O 0.000 0.000 0.250
O 0.000 0.383 0.752
O 0.000 0.500 0.320
O 0.110 0.310 0.346
O 0.127 0.000 0.730
O 0.194 0.118 0.314
O 0.250 0.250 0.725

2.
K2MgV2O6 | PBE with a Hubbard U | optimized geometry

Properties
Final energy (eV per atom): -6.38

a b c (Å): 5.9053 5.9053 17.1679
angles (deg): 90.00 90.00 120.00
Space group R-3m (No. 166, hexagonal axes)
One atom of each set of equivalent atoms:
K 0.0000 0.0000 0.2149
Mg 0.0000 0.0000 0.0000
V 0.0000 0.0000 0.4234
O 0.0020 0.5010 0.2601

> What is the formula in the first record?

K4MgV6O16

> Look up the final energy of the second one.

-6.38 eV per atom

> Which of these has the lowest final energy?

K4MgV6O16